(1)
{"formula": "Pr4Dy7Sc", "functional": "PBE-GGA", "state": "relaxed", "e_tot_ev_per_cell": -55.40, "m_tot_mub_per_fu": 0.34, "formation_energy_ev_per_fu": 2.26, "lattice_angstrom": [[5.7489, -2.6786, 0.0000], [5.7489, 2.6786, 0.0000], [-3.3273, 0.0000, 12.8255]], "species": ["Pr", "Pr", "Pr", "Pr", "Dy", "Dy", "Dy", "Dy", "Dy", "Dy", "Dy", "Sc"], "fractional_positions": [[0.0369, 0.0369, 0.2829], [0.3204, 0.3204, 0.2379], [0.6796, 0.6796, 0.7621], [0.9631, 0.9631, 0.7171], [0.1374, 0.1374, 0.9659], [0.2672, 0.2672, 0.6000], [0.4113, 0.4113, 0.8716], [0.5000, 0.5000, 0.5000], [0.5887, 0.5887, 0.1284], [0.7328, 0.7328, 0.4000], [0.8626, 0.8626, 0.0341], [0.0000, 0.0000, 0.5000]]}

(2)
{"formula": "BeFeW2", "functional": "PBE-GGA", "state": "relaxed", "e_tot_ev_per_cell": -70.17, "m_tot_mub_per_fu": 1.28, "formation_energy_ev_per_fu": 3.01, "lattice_angstrom": [[-3.2578, 3.2578, 2.6180], [3.2578, -3.2578, 2.6180], [3.2578, 3.2578, -2.6180]], "species": ["Be", "Be", "Fe", "Fe", "W", "W", "W", "W"], "fractional_positions": [[0.0000, 0.0000, 0.0000], [0.7500, 0.2500, 0.5000], [0.2500, 0.7500, 0.5000], [0.5000, 0.5000, 0.0000], [0.1269, 0.1250, 0.5019], [0.3750, 0.8731, 0.9981], [0.6231, 0.6250, 0.4981], [0.8750, 0.3769, 0.0019]]}

(3)
{"formula": "LiNiMoPb2", "functional": "PBE-GGA", "state": "relaxed", "e_tot_ev_per_cell": -20.89, "m_tot_mub_per_fu": 0.00, "formation_energy_ev_per_fu": 5.05, "lattice_angstrom": [[4.9053, 0.0000, 0.0000], [0.0000, 4.9053, 0.0000], [0.0000, 0.0000, 3.9382]], "species": ["Li", "Ni", "Mo", "Pb", "Pb"], "fractional_positions": [[0.0000, 0.0000, 0.0000], [0.0000, 0.0000, 0.5000], [0.5000, 0.5000, 0.5000], [0.0000, 0.5000, 0.0000], [0.5000, 0.0000, 0.0000]]}

(4)
{"formula": "Mn2CoGe2", "functional": "PBE-GGA", "state": "relaxed", "e_tot_ev_per_cell": -69.43, "m_tot_mub_per_fu": 6.91, "formation_energy_ev_per_fu": -0.04, "lattice_angstrom": [[6.1702, 0.0000, 0.0000], [0.0000, 6.1702, 0.0000], [0.0000, 0.0000, 3.6375]], "species": ["Mn", "Mn", "Mn", "Mn", "Co", "Co", "Ge", "Ge", "Ge", "Ge"], "fractional_positions": [[0.1598, 0.3402, 0.0000], [0.3402, 0.8402, 0.0000], [0.6598, 0.1598, 0.0000], [0.8402, 0.6598, 0.0000], [0.0000, 0.0000, 0.5000], [0.5000, 0.5000, 0.5000], [0.1462, 0.6462, 0.5000], [0.3538, 0.1462, 0.5000], [0.6462, 0.8538, 0.5000], [0.8538, 0.3538, 0.5000]]}

(5)
{"formula": "Ce2Ga3Re", "functional": "PBE-GGA", "state": "relaxed", "e_tot_ev_per_cell": -35.75, "m_tot_mub_per_fu": 0.64, "formation_energy_ev_per_fu": -2.35, "lattice_angstrom": [[2.7594, 1.5931, 4.4158], [-2.7594, 1.5931, 4.4158], [0.0000, -3.1862, 4.4158]], "species": ["Ce", "Ce", "Ga", "Ga", "Ga", "Re"], "fractional_positions": [[0.1258, 0.1258, 0.1258], [0.8742, 0.8742, 0.8742], [0.0000, 0.5000, 0.5000], [0.5000, 0.0000, 0.5000], [0.5000, 0.5000, 0.0000], [0.5000, 0.5000, 0.5000]]}

(6)
{"formula": "Na2LiHgO", "functional": "PBE-GGA", "state": "relaxed", "e_tot_ev_per_cell": -14.01, "raw_formation_energy_kj_per_mol_atoms": -81, "m_tot_mub_per_fu": 0.20, "lattice_angstrom": [[4.9675, 0.0000, 0.0000], [0.0000, 4.9675, 0.0000], [0.0000, 0.0000, 3.8202]], "species": ["Na", "Na", "Li", "Hg", "O"], "fractional_positions": [[0.0000, 0.5000, 0.0000], [0.5000, 0.0000, 0.0000], [0.0000, 0.0000, 0.5000], [0.5000, 0.5000, 0.5000], [0.0000, 0.0000, 0.0000]]}